No. 1
# Rb2Ag2MoSe4

Crystalline Rb2Ag2MoSe4 at its relaxed geometry (PBE, OQMD via LeMat-Bulk). Values from VASP.

E_tot: -37.46 eV/cell
Space group: C222, No. 21
Density: 4.89 Mg/m³

The structure in Quantum ESPRESSO input format:
```
&SYSTEM
  ibrav = 0, nat = 9, ntyp = 4
/
ATOMIC_SPECIES
Rb 85.47 Rb.upf
Ag 107.87 Ag.upf
Mo 95.94 Mo.upf
Se 78.96 Se.upf
CELL_PARAMETERS angstrom
3.144 -6.917 0.000
3.144 6.917 0.000
0.000 0.000 6.240
ATOMIC_POSITIONS crystal
Rb 0.000 0.500 0.241
Rb 0.500 0.000 0.759
Ag 0.000 0.000 0.000
Ag 0.500 0.500 0.500
Mo 0.000 0.000 0.500
Se 0.112 0.330 0.721
Se 0.330 0.112 0.279
Se 0.670 0.888 0.279
Se 0.888 0.670 0.721
```

No. 2
# RbBeAs2Ir

Crystalline RbBeAs2Ir at its relaxed geometry (PBE, OQMD via LeMat-Bulk). Values from VASP.

E_tot: -23.95 eV/cell
Space group: I-4m2, No. 119
Density: 6.79 Mg/m³

The structure in Quantum ESPRESSO input format:
```
&SYSTEM
  ibrav = 0, nat = 5, ntyp = 4
/
ATOMIC_SPECIES
Rb 85.47 Rb.upf
Be 9.01 Be.upf
As 74.92 As.upf
Ir 192.22 Ir.upf
CELL_PARAMETERS angstrom
-1.808 1.808 8.166
1.808 -1.808 8.166
1.808 1.808 -8.166
ATOMIC_POSITIONS crystal
Rb 0.000 0.000 0.000
Be 0.750 0.250 0.500
As 0.353 0.353 0.000
As 0.647 0.647 0.000
Ir 0.250 0.750 0.500
```

No. 3
# CsSmAlTe3

Crystalline CsSmAlTe3 at its relaxed geometry (PBE, OQMD via LeMat-Bulk). Values from VASP.

E_tot: -97.61 eV/cell
Space group: Pnma, No. 62
Energy above the most stable polymorph in this dataset: 26.5 meV per atom
Density: 5.32 Mg/m³

The structure in Quantum ESPRESSO input format:
```
&SYSTEM
  ibrav = 0, nat = 24, ntyp = 4
/
ATOMIC_SPECIES
Cs 132.91 Cs.upf
Sm 150.36 Sm.upf
Al 26.98 Al.upf
Te 127.60 Te.upf
CELL_PARAMETERS angstrom
12.237 0.000 0.000
0.000 5.141 0.000
0.000 0.000 13.764
ATOMIC_POSITIONS crystal
Cs 0.176 0.250 0.007
Cs 0.324 0.750 0.507
Cs 0.676 0.250 0.493
Cs 0.824 0.750 0.993
Sm 0.029 0.250 0.329
Sm 0.471 0.750 0.829
Sm 0.529 0.250 0.171
Sm 0.971 0.750 0.671
Al 0.228 0.250 0.724
Al 0.272 0.750 0.224
Al 0.728 0.250 0.776
Al 0.772 0.750 0.276
Te 0.056 0.750 0.186
Te 0.092 0.250 0.563
Te 0.205 0.750 0.794
Te 0.295 0.250 0.294
Te 0.408 0.750 0.063
Te 0.444 0.250 0.686
Te 0.556 0.750 0.314
Te 0.592 0.250 0.937
Te 0.705 0.750 0.706
Te 0.795 0.250 0.206
Te 0.908 0.750 0.437
Te 0.944 0.250 0.814
```

No. 4
# Y4Ge6Ir7

Crystalline Y4Ge6Ir7 at its relaxed geometry (PBE, OQMD via LeMat-Bulk). Values from VASP.

E_tot: -130.20 eV/cell
Space group: Im-3m, No. 229
Density: 11.94 Mg/m³

The structure in Quantum ESPRESSO input format:
```
&SYSTEM
  ibrav = 0, nat = 17, ntyp = 3
/
ATOMIC_SPECIES
Y 88.91 Y.upf
Ge 72.64 Ge.upf
Ir 192.22 Ir.upf
CELL_PARAMETERS angstrom
-4.204 4.204 4.204
4.204 -4.204 4.204
4.204 4.204 -4.204
ATOMIC_POSITIONS crystal
Y 0.000 0.000 0.500
Y 0.000 0.500 0.000
Y 0.500 0.000 0.000
Y 0.500 0.500 0.500
Ge 0.000 0.318 0.318
Ge 0.000 0.682 0.682
Ge 0.318 0.000 0.318
Ge 0.318 0.318 0.000
Ge 0.682 0.000 0.682
Ge 0.682 0.682 0.000
Ir 0.000 0.000 0.000
Ir 0.250 0.500 0.750
Ir 0.250 0.750 0.500
Ir 0.500 0.250 0.750
Ir 0.500 0.750 0.250
Ir 0.750 0.250 0.500
Ir 0.750 0.500 0.250
```

No. 5
# RbTaAgO3

Crystalline RbTaAgO3 at its relaxed geometry (PBE, OQMD via LeMat-Bulk). Values from VASP.

E_tot: -167.82 eV/cell
Space group: P2_1/m, No. 11
Density: 6.60 Mg/m³

The structure in Quantum ESPRESSO input format:
```
&SYSTEM
  ibrav = 0, nat = 24, ntyp = 4
/
ATOMIC_SPECIES
Rb 85.47 Rb.upf
Ta 180.95 Ta.upf
Ag 107.87 Ag.upf
O 16.00 O.upf
CELL_PARAMETERS angstrom
11.014 0.000 0.000
0.000 3.129 0.000
-0.008 0.000 12.329
ATOMIC_POSITIONS crystal
Rb 0.100 0.250 0.259
Rb 0.399 0.250 0.759
Rb 0.601 0.750 0.241
Rb 0.900 0.750 0.741
Ta 0.132 0.750 0.960
Ta 0.368 0.750 0.460
Ta 0.632 0.250 0.540
Ta 0.868 0.250 0.040
Ag 0.091 0.250 0.534
Ag 0.409 0.250 0.035
Ag 0.591 0.750 0.965
Ag 0.909 0.750 0.466
O 0.017 0.250 0.913
O 0.201 0.250 0.043
O 0.217 0.750 0.837
O 0.283 0.750 0.337
O 0.299 0.250 0.542
O 0.483 0.250 0.413
O 0.517 0.750 0.587
O 0.701 0.750 0.458
O 0.717 0.250 0.663
O 0.783 0.250 0.163
O 0.799 0.750 0.957
O 0.983 0.750 0.087
```

No. 6
# ZrAl

Crystalline ZrAl at its relaxed geometry (PBE, OQMD via LeMat-Bulk). Values from VASP.

E_tot: -50.66 eV/cell
Space group: Pmmn, No. 59
Density: 4.96 Mg/m³

The structure in Quantum ESPRESSO input format:
```
&SYSTEM
  ibrav = 0, nat = 8, ntyp = 2
/
ATOMIC_SPECIES
Zr 91.22 Zr.upf
Al 26.98 Al.upf
CELL_PARAMETERS angstrom
3.060 0.000 0.000
0.000 4.985 0.000
0.000 0.000 10.372
ATOMIC_POSITIONS crystal
Zr 0.250 0.250 0.055
Zr 0.250 0.750 0.237
Zr 0.750 0.250 0.763
Zr 0.750 0.750 0.945
Al 0.250 0.250 0.527
Al 0.250 0.750 0.695
Al 0.750 0.250 0.305
Al 0.750 0.750 0.473
```

No. 7
# PrZr

Crystalline PrZr at its relaxed geometry (PBE, OQMD via LeMat-Bulk). Values from VASP.

E_tot: -11.43 eV/cell
Space group: Fm-3m, No. 225
Energy above the most stable polymorph in this dataset: 849.6 meV per atom
ΔE_f: 0.947 eV/atom
Density: 6.35 Mg/m³

The structure in Quantum ESPRESSO input format:
```
&SYSTEM
  ibrav = 0, nat = 2, ntyp = 2
/
ATOMIC_SPECIES
Pr 140.91 Pr.upf
Zr 91.22 Zr.upf
CELL_PARAMETERS angstrom
0.000 3.120 3.120
3.120 0.000 3.120
3.120 3.120 0.000
ATOMIC_POSITIONS crystal
Pr 0.000 0.000 0.000
Zr 0.500 0.500 0.500
```

No. 8
# CsDy2CuSe4

Crystalline CsDy2CuSe4 at its relaxed geometry (PBE, OQMD via LeMat-Bulk). Values from VASP.

E_tot: -79.34 eV/cell
Space group: Cmcm, No. 63
Density: 6.26 Mg/m³

The structure in Quantum ESPRESSO input format:
```
&SYSTEM
  ibrav = 0, nat = 16, ntyp = 4
/
ATOMIC_SPECIES
Cs 132.91 Cs.upf
Dy 162.50 Dy.upf
Cu 63.55 Cu.upf
Se 78.96 Se.upf
CELL_PARAMETERS angstrom
2.088 -7.323 0.000
2.088 7.323 0.000
0.000 0.000 14.517
ATOMIC_POSITIONS crystal
Cs 0.108 0.892 0.750
Cs 0.892 0.108 0.250
Dy 0.366 0.634 0.562
Dy 0.366 0.634 0.938
Dy 0.634 0.366 0.062
Dy 0.634 0.366 0.438
Cu 0.165 0.835 0.250
Cu 0.835 0.165 0.750
Se 0.000 0.000 0.000
Se 0.000 0.000 0.500
Se 0.257 0.743 0.106
Se 0.257 0.743 0.394
Se 0.423 0.577 0.750
Se 0.577 0.423 0.250
Se 0.743 0.257 0.606
Se 0.743 0.257 0.894
```

> What is the E_tot in the sixth record?

-50.66 eV/cell